w) Computed, not measured: crystalline Na8InAg2 at its relaxed geometry at the PBE-GGA level of DFT.

```
11
Lattice="-2.969 4.231 1.630 -5.036 -4.403 2.403 7.847 -0.043 5.450" Properties=species:S:1:pos:R:3 pbc="T T T"
In 1.842 -3.742 7.503
Na -0.723 -0.253 2.722
Na 1.542 4.028 4.702
Na -1.078 1.925 5.456
Na -6.077 -1.052 4.095
Ag -3.553 0.733 4.095
Ag 1.778 0.770 4.630
Na 4.016 1.532 6.614
Na 4.153 -1.756 6.372
Na 0.118 -1.080 6.455
Na -2.970 -2.391 4.255
```

* N(E_F): 0.3828 states/eV/atom
* calculated volume: 29.41 Å³/atom
* spin magnetization: 0.0 Bohr magnetons per cell



x) Computed, not measured: crystalline Na8InAg2 at its relaxed geometry at the PBE-GGA level of DFT.

```
11
Lattice="-4.000 -3.157 2.285 4.192 -5.950 -3.843 3.692 2.479 6.927" Properties=species:S:1:pos:R:3 pbc="T T T"
Na 1.085 0.128 2.106
Na 2.799 -6.757 3.263
Na 3.679 -3.207 2.681
Na 0.206 -3.422 2.688
Ag 4.031 -3.239 -0.379
Na 2.676 -4.667 5.932
Na 2.073 -5.525 -0.140
Ag 3.853 -0.233 3.462
In -2.000 -1.578 1.143
Na 1.811 -1.104 5.508
Na 1.209 -1.961 -0.564
```

* N(E_F): 0.4109 states/eV/atom
* calculated volume: 30.65 Å³/atom
* spin magnetization: 0.0 Bohr magnetons per cell



Which one is most stable, and which one is least stable? w) is the most stable of them, while x) is the least stable.



w) Computed, not measured: crystalline NaInAg3 at its relaxed geometry at the PBE-GGA level of DFT.

```
5
Lattice="5.309 -0.505 0.004 -1.701 5.054 0.004 -1.800 -2.270 4.620" Properties=species:S:1:pos:R:3 pbc="T T T"
In 1.808 2.280 2.341
Ag 2.653 -0.248 1.334
Na 0.003 0.004 3.705
Ag -0.002 -0.002 0.511
Ag -0.846 2.526 1.334
```

* N(E_F): 0.3306 states/eV/atom
* calculated volume: 24.02 Å³/atom
* spin magnetization: 0.0 Bohr magnetons per cell



x) Computed, not measured: crystalline NaInAg3 at its relaxed geometry at the PBE-GGA level of DFT.

```
10
Lattice="-2.573 5.078 -1.269 -5.459 0.062 -2.053 -5.250 2.146 5.591" Properties=species:S:1:pos:R:3 pbc="T T T"
Ag -4.390 2.007 3.314
Ag -7.087 2.032 2.299
Ag -8.892 5.279 -1.046
In -6.686 4.278 -2.758
Ag -5.655 4.520 2.688
Ag -7.626 2.767 -0.419
Ag -6.194 5.255 -0.030
In -6.595 3.009 5.026
Na -4.635 2.681 -0.093
Na -8.647 4.605 2.362
```

* N(E_F): 0.2150 states/eV/atom
* calculated volume: 21.19 Å³/atom
* spin magnetization: 0.0 Bohr magnetons per cell



Which one is most stable, and which one is least stable? x) is the most stable of them, while w) is the least stable.